A geometry-optimized KCu2Ge structure. Source: the Alexandria database, functional PBE.

a b c (Å): 5.0797 5.0797 8.7202
angles (deg): 73.07 73.07 90.00
Closest atoms and distances in Å follow each position.
Fractional positions:
Ge 0.0000 0.0000 0.0000  4 Cu 2.36
Ge 0.7500 0.2500 0.5000  4 Cu 2.36
K 0.5000 0.5000 0.0000  8 Cu 3.47, 4 Ge 3.59
K 0.2500 0.7500 0.5000  8 Cu 3.47, 4 Ge 3.59
Cu 0.8749 0.1250 0.2500  2 Ge 2.36, 2 Cu 2.54
Cu 0.8751 0.6250 0.2500  2 Ge 2.36, 2 Cu 2.54
Cu 0.3750 0.1251 0.7500  2 Ge 2.36, 2 Cu 2.54
Cu 0.8750 0.1249 0.7500  2 Ge 2.36, 2 Cu 2.54

Output
As for the total magnetization: 0.00 Bohr magnetons per cell. As for the symmetry: I4_1/amd. The calculated total energy is -3.317 eV per atom. Its density of states at the Fermi level is 0.90 states/eV per atom.